[1]
Below is an optimized crystal structure of Ba4Sr4Ca5, with properties calculated at the GGA-PBE level.

The total magnetization comes out at 0.00 μB per atom. For the formation energy, the calculation gives 31 meV/atom. The value obtained for the total DFT energy (no corrections) is -48.1 eV for the cell shown.

abc: 15.1221 15.1221 5.9774
angles: 90.00 90.00 90.00
Space group I4/m (No. 87)
Symmetry-distinct sites (fractional):
Ba: 0.1483 0.7738 0.0000 x8
Sr: 0.0802 0.3862 0.0000 x8
Ca: 0.0000 0.0000 0.0000 x2
Ca: 0.0381 0.1839 0.5000 x8

[2]
Below is an optimized crystal structure of BaSr6Ca, with properties calculated at the GGA-PBE level.

The total magnetization comes out at 0.00 μB per atom. For the formation energy, the calculation gives 46 meV/atom. The value obtained for the total DFT energy (no corrections) is -13.6 eV for the cell shown. The relative energy among the computed polymorphs comes out at 37 meV per atom.

abc: 7.5869 7.5869 7.5869
angles: 90.00 90.00 90.00
Space group Pm-3 (No. 200)
Symmetry-distinct sites (fractional):
Ba: 0.0000 0.0000 0.0000 x1
Sr: 0.0000 0.2525 0.5000 x6
Ca: 0.5000 0.5000 0.5000 x1

[3]
Below is an optimized crystal structure of BaSr12Ca5, with properties calculated at the GGA-PBE level.

The total magnetization comes out at 0.00 μB per atom. For the formation energy, the calculation gives 19 meV/atom. The value obtained for the total DFT energy (no corrections) is -63.5 eV for the cell shown.

abc: 7.2343 12.5190 20.6284
angles: 90.00 96.68 90.00
Space group C2/m (No. 12)
Symmetry-distinct sites (fractional):
Ba: 0.0000 0.0000 0.0000 x2
Sr: 0.1135 0.0000 0.3383 x4
Sr: 0.1140 0.3334 0.3397 x8
Sr: 0.2192 0.5000 0.1670 x4
Sr: 0.2254 0.1687 0.1669 x8
Ca: 0.0000 0.1659 0.5000 x4
Ca: 0.0000 0.3335 0.0000 x4
Ca: 0.0000 0.5000 0.5000 x2

[4]
Below is an optimized crystal structure of Ba2Sr2Ca5, with properties calculated at the GGA-PBE level.

The total magnetization comes out at 0.00 μB per atom. For the formation energy, the calculation gives 108 meV/atom. The value obtained for the total DFT energy (no corrections) is -65.0 eV for the cell shown. The relative energy among the computed polymorphs comes out at 31 meV per atom.

abc: 17.1959 13.9255 7.5720
angles: 90.00 90.00 90.00
Space group Ima2 (No. 46)
Symmetry-distinct sites (fractional):
Ba: 0.1251 0.0006 0.0000 x8
Sr: 0.0000 0.0000 0.5218 x4
Sr: 0.2500 0.0074 0.4771 x4
Ca: 0.0525 0.7479 0.8682 x8
Ca: 0.1434 0.2405 0.6844 x8
Ca: 0.2500 0.7486 0.6633 x4

> What is the formula in the fourth record?

Ba2Sr2Ca5

> What is the total magnetization in the second record?

0.00 μB per atom

> Which value of total magnetization does entry 2 give?

0.00 μB per atom